(1)
First-principles (PBEsol) data for a geometry-optimized LiB3Os structure, as listed in the Alexandria database.

energy relative to the elements	0.5255	eV per atom
D(E_F)	0.01	states/eV per atom

Cell: 4.071 4.071 4.071 Å, 90.00 90.00 90.00°
Atoms (fractional coordinates):
1 Li 0.000 0.000 0.000
2 B 0.000 0.500 0.500
3 B 0.500 0.000 0.500
4 B 0.500 0.500 0.000
5 Os 0.500 0.500 0.500

=====

(2)
First-principles (PBEsol) data for a geometry-optimized U2Cl5O2 structure, as listed in the Alexandria database.

formation energy from raw total energies	-2.1221	eV per atom
D(E_F)	1.81	states/eV per atom

Cell: 7.981 7.981 4.096 Å, 90.00 90.00 117.32°
Atoms (fractional coordinates):
1 U 0.199 0.801 0.000
2 U 0.801 0.199 0.000
3 Cl 0.000 0.000 0.000
4 Cl 0.172 0.450 0.000
5 Cl 0.450 0.172 0.000
6 Cl 0.550 0.828 0.000
7 Cl 0.828 0.550 0.000
8 O 0.199 0.801 0.500
9 O 0.801 0.199 0.500

=====

(3)
First-principles (PBEsol) data for a geometry-optimized Al2GeC structure, as listed in the Alexandria database.

energy relative to the elements	1.0574	eV per atom
D(E_F)	0.52	states/eV per atom

Cell: 4.272 4.272 4.272 Å, 60.00 60.00 60.00°
Atoms (fractional coordinates):
1 Al 0.250 0.250 0.250
2 Al 0.750 0.750 0.750
3 Ge 0.000 0.000 0.000
4 C 0.500 0.500 0.500

=====

(4)
First-principles (PBEsol) data for a geometry-optimized Te2PBr structure, as listed in the Alexandria database.

formation energy from raw total energies	0.0836	eV per atom
relative energy among the computed polymorphs	0	meV/atom
D(E_F)	0.44	states/eV per atom

Cell: 5.566 3.789 5.674 Å, 90.00 106.52 90.00°
Atoms (fractional coordinates):
1 Te 0.000 0.000 0.000
2 Te 0.472 0.500 0.216
3 P 0.648 0.500 0.870
4 Br 0.042 0.000 0.511

=====

(5)
First-principles (PBEsol) data for a geometry-optimized SrTeMo2 structure, as listed in the Alexandria database.

formation energy from raw total energies	0.8965	eV per atom
D(E_F)	0.84	states/eV per atom

Cell: 9.547 9.547 9.547 Å, 19.44 19.44 19.44°
Atoms (fractional coordinates):
1 Sr 0.000 0.000 0.000
2 Te 0.500 0.500 0.500
3 Mo 0.237 0.237 0.237
4 Mo 0.763 0.763 0.763

=====

(6)
First-principles (PBEsol) data for a geometry-optimized La2YRu structure, as listed in the Alexandria database.

energy relative to the elements	-0.0655	eV per atom
relative energy among the computed polymorphs	0	meV/atom
D(E_F)	1.20	states/eV per atom

Cell: 6.220 6.220 5.659 Å, 115.68 115.68 34.55°
Atoms (fractional coordinates):
1 La 0.000 0.000 0.000
2 La 0.194 0.194 0.691
3 Y 0.810 0.810 0.307
4 Ru 0.505 0.505 0.437

=====

(7)
First-principles (PBEsol) data for a geometry-optimized KMg2Nb structure, as listed in the Alexandria database.

energy relative to the elements	1.1372	eV per atom
relative energy among the computed polymorphs	202	meV/atom
D(E_F)	0.83	states/eV per atom

Cell: 6.764 6.764 6.764 Å, 103.67 103.67 121.82°
Atoms (fractional coordinates):
1 K 0.000 0.000 0.000
2 K 0.750 0.250 0.500
3 Mg 0.160 0.125 0.535
4 Mg 0.375 0.840 0.965
5 Mg 0.590 0.625 0.465
6 Mg 0.875 0.410 0.035
7 Nb 0.250 0.750 0.500
8 Nb 0.500 0.500 0.000

=====

(8)
First-principles (PBEsol) data for a geometry-optimized HfC3S structure, as listed in the Alexandria database.

formation energy from raw total energies	2.5697	eV per atom
D(E_F)	0.65	states/eV per atom

Cell: 4.284 4.284 4.284 Å, 90.00 90.00 90.00°
Atoms (fractional coordinates):
1 Hf 0.000 0.000 0.000
2 C 0.000 0.000 0.500
3 C 0.000 0.500 0.000
4 C 0.500 0.000 0.000
5 S 0.500 0.500 0.500

=====

(9)
First-principles (PBEsol) data for a geometry-optimized TlCd2Au2 structure, as listed in the Alexandria database.

energy relative to the elements	-0.0395	eV per atom
relative energy among the computed polymorphs	70	meV/atom
D(E_F)	0.38	states/eV per atom

Cell: 7.216 7.216 7.216 Å, 147.34 147.34 46.87°
Atoms (fractional coordinates):
1 Tl 0.000 0.000 0.000
2 Cd 0.250 0.750 0.500
3 Cd 0.750 0.250 0.500
4 Au 0.399 0.399 0.000
5 Au 0.601 0.601 0.000

=====

(10)
First-principles (PBEsol) data for a geometry-optimized MoOsRh structure, as listed in the Alexandria database.

energy relative to the elements	0.9551	eV per atom
D(E_F)	1.35	states/eV per atom

Cell: 4.142 4.142 4.142 Å, 60.00 60.00 60.00°
Atoms (fractional coordinates):
1 Mo 0.000 0.000 0.000
2 Os 0.500 0.500 0.500
3 Rh 0.250 0.250 0.250

=====

(11)
First-principles (PBEsol) data for a geometry-optimized La5Pb structure, as listed in the Alexandria database.

energy relative to the elements	-0.1986	eV per atom
relative energy among the computed polymorphs	39	meV/atom
D(E_F)	1.40	states/eV per atom

Cell: 6.130 6.130 5.891 Å, 90.00 90.00 120.00°
Atoms (fractional coordinates):
1 La 0.000 0.307 0.000
2 La 0.307 0.000 0.000
3 La 0.333 0.667 0.500
4 La 0.667 0.333 0.500
5 La 0.693 0.693 0.000
6 Pb 0.000 0.000 0.500

=====

(12)
First-principles (PBEsol) data for a geometry-optimized AlAg2Pt structure, as listed in the Alexandria database.

energy relative to the elements	-0.3072	eV per atom
relative energy among the computed polymorphs	10	meV/atom
D(E_F)	0.25	states/eV per atom

Cell: 4.441 4.441 4.441 Å, 60.00 60.00 60.00°
Atoms (fractional coordinates):
1 Al 0.000 0.000 0.000
2 Ag 0.250 0.250 0.250
3 Ag 0.500 0.500 0.500
4 Pt 0.750 0.750 0.750